[1]
Computed, not measured: an optimized crystal structure of ScTl2Pt at the GGA-PBE level of DFT.

a b c (Å): 5.236 5.236 5.236
angles (deg): 128.19 128.19 76.31
Fractional coordinates of all 4 atoms:
Sc: 0.000 0.000 0.000
Tl: 0.250 0.750 0.500
Tl: 0.500 0.500 0.000
Pt: 0.750 0.250 0.500

Summary:
* energy relative to the elements: -24.1 kJ per mole of atoms
* space group: I-4m2 (119)
* DFT total energy: -4.53 eV per atom

[2]
Computed, not measured: an optimized crystal structure of Mg2GaHgB at the GGA-PBE level of DFT.

a b c (Å): 5.193 5.193 5.010
angles (deg): 90.00 90.00 90.00
Fractional coordinates of all 5 atoms:
Mg: 0.000 0.500 0.000
Mg: 0.500 0.000 0.000
Ga: 0.000 0.000 0.500
Hg: 0.000 0.000 0.000
B: 0.500 0.500 0.500

Summary:
* energy relative to the elements: 108.3 kJ per mole of atoms
* space group: P4/mmm (123)
* DFT total energy: -1.52 eV per atom

[3]
Computed, not measured: an optimized crystal structure of Al2POs2 at the GGA-PBE level of DFT.

a b c (Å): 6.795 6.795 3.186
angles (deg): 90.00 90.00 90.00
Fractional coordinates of all 10 atoms:
Al: 0.138 0.362 0.000
Al: 0.362 0.862 0.000
Al: 0.638 0.138 0.000
Al: 0.862 0.638 0.000
P: 0.000 0.000 0.500
P: 0.500 0.500 0.500
Os: 0.162 0.662 0.500
Os: 0.338 0.162 0.500
Os: 0.662 0.838 0.500
Os: 0.838 0.338 0.500

Summary:
* energy relative to the elements: 3.6 kJ per mole of atoms
* space group: P4/mbm (127)
* DFT total energy: -7.03 eV per atom

[4]
Computed, not measured: an optimized crystal structure of Li4Ge at the GGA-PBE level of DFT.

a b c (Å): 7.650 7.648 3.548
angles (deg): 76.63 76.56 26.82
Fractional coordinates of all 5 atoms:
Li: 0.090 0.090 0.910
Li: 0.250 0.250 0.250
Li: 0.750 0.750 0.750
Li: 0.910 0.910 0.090
Ge: 0.500 0.500 0.500

Summary:
* energy relative to the elements: 7.1 kJ per mole of atoms
* energy above the lowest structure with this stoichiometry: 299 meV/atom
* space group: Fmmm (69)
* DFT total energy: -2.38 eV per atom

[5]
Computed, not measured: an optimized crystal structure of La3CdO at the GGA-PBE level of DFT.

a b c (Å): 6.955 6.955 7.513
angles (deg): 90.00 90.00 120.36
Fractional coordinates of all 10 atoms:
La: 0.000 0.000 0.000
La: 0.000 0.000 0.500
La: 0.037 0.500 0.750
La: 0.500 0.037 0.250
La: 0.500 0.963 0.750
La: 0.963 0.500 0.250
Cd: 0.470 0.530 0.250
Cd: 0.530 0.470 0.750
O: 0.122 0.878 0.250
O: 0.878 0.122 0.750

Summary:
* energy above the lowest structure with this stoichiometry: 299 meV/atom
* formation energy without anion corrections: -5.0 eV/f.u.
* space group: Cmcm (63)
* DFT total energy: -5.14 eV per atom

[6]
Computed, not measured: an optimized crystal structure of ZnGaAu5 at the GGA-PBE level of DFT.

a b c (Å): 5.542 5.542 10.217
angles (deg): 103.80 103.80 57.85
Fractional coordinates of all 14 atoms:
Zn: 0.154 0.846 0.750
Zn: 0.846 0.154 0.250
Ga: 0.500 0.500 0.000
Ga: 0.500 0.500 0.500
Au: 0.080 0.213 0.514
Au: 0.147 0.398 0.810
Au: 0.213 0.080 0.014
Au: 0.337 0.663 0.250
Au: 0.398 0.147 0.310
Au: 0.602 0.853 0.690
Au: 0.663 0.337 0.750
Au: 0.787 0.920 0.986
Au: 0.853 0.602 0.190
Au: 0.920 0.787 0.486

Summary:
* energy relative to the elements: -6.7 kJ per mole of atoms
* energy above the lowest structure with this stoichiometry: 61 meV/atom
* space group: C2/c (15)
* DFT total energy: -3.03 eV per atom

[7]
Computed, not measured: an optimized crystal structure of LiAg3S at the GGA-PBE level of DFT.

a b c (Å): 4.543 4.543 4.543
angles (deg): 90.00 90.00 90.00
Fractional coordinates of all 5 atoms:
Li: 0.000 0.000 0.000
Ag: 0.000 0.000 0.500
Ag: 0.000 0.500 0.000
Ag: 0.500 0.000 0.000
S: 0.500 0.500 0.500

Summary:
* energy above the lowest structure with this stoichiometry: 276 meV/atom
* formation energy without anion corrections: 2.6 eV/f.u.
* space group: Pm-3m (221)
* DFT total energy: -2.39 eV per atom

[8]
Computed, not measured: an optimized crystal structure of PrPu4N5 at the GGA-PBE level of DFT.

a b c (Å): 9.281 9.281 9.281
angles (deg): 158.19 148.77 38.42
Fractional coordinates of all 10 atoms:
Pr: 0.000 0.000 0.000
Pu: 0.202 0.202 0.000
Pu: 0.400 0.400 0.000
Pu: 0.600 0.600 0.000
Pu: 0.798 0.798 0.000
N: 0.111 0.611 0.500
N: 0.301 0.801 0.500
N: 0.500 0.000 0.500
N: 0.699 0.199 0.500
N: 0.889 0.389 0.500

Summary:
* formation energy without anion corrections: -11.9 eV/f.u.
* space group: Immm (71)
* DFT total energy: -11.57 eV per atom